Entry from the Alexandria database: an optimized crystal structure of Li2YInAu2 (PBE).

Properties
Size of the total moment in μB per atom: 0.0000
VASP energy in Ry per atom: -0.283

a = 4.560 Å, b = 4.560 Å, c = 6.501 Å
α = 90.00°, β = 90.00°, γ = 120.00°
Atoms (fractional coordinates):
Li  0.333  0.667  0.184
Li  0.667  0.333  0.816
Y  0.000  0.000  0.500
In  0.000  0.000  0.000
Au  0.333  0.667  0.753
Au  0.667  0.333  0.247

Entry from the Alexandria database: an optimized crystal structure of LiYIn2Au4 (PBE).

Properties
Size of the total moment in μB per atom: 0.0000
VASP energy in Ry per atom: -0.288

a = 8.587 Å, b = 8.587 Å, c = 8.587 Å
α = 32.33°, β = 32.33°, γ = 32.33°
Atoms (fractional coordinates):
Li  0.000  0.000  0.000
Y  0.500  0.500  0.500
In  0.254  0.254  0.254
In  0.746  0.746  0.746
Au  0.114  0.114  0.114
Au  0.372  0.372  0.372
Au  0.628  0.628  0.628
Au  0.886  0.886  0.886

Entry from the Alexandria database: an optimized crystal structure of Li3Zn2In2Au4 (PBE).

Properties
Size of the total moment in μB per atom: 0.0000
VASP energy in Ry per atom: -0.202

a = 4.440 Å, b = 4.440 Å, c = 12.999 Å
α = 90.00°, β = 90.00°, γ = 120.00°
Atoms (fractional coordinates):
Li  0.000  0.000  0.000
Li  0.000  0.000  0.291
Li  0.000  0.000  0.709
Zn  0.333  0.667  0.573
Zn  0.667  0.333  0.427
In  0.333  0.667  0.157
In  0.667  0.333  0.843
Au  0.333  0.667  0.370
Au  0.333  0.667  0.927
Au  0.667  0.333  0.073
Au  0.667  0.333  0.630

Among the records above, which one has the lowest VASP energy?
LiYIn2Au4

Number 1 is which compound?
Li2YInAu2

The highest VASP energy belongs to which entry?
Li3Zn2In2Au4